A relaxed structure of RbNpFe2O8, computed with PBE+U.

Cell: 5.729 5.729 8.109 Å, 90.00 90.00 120.00°
Site moments in Bohr magnetons follow the coordinates.
Fractional coordinates of all 12 atoms:
O (0.683, 0.772, 0.647)  0.02
O (0.228, 0.911, 0.647)  0.02
O (0.772, 0.089, 0.353)  0.02
O (0.911, 0.683, 0.353)  0.02
O (0.333, 0.667, 0.924)  0.02
O (0.089, 0.317, 0.647)  0.02
O (0.317, 0.228, 0.353)  0.02
O (0.667, 0.333, 0.076)  0.02
Np (0.000, 0.000, 0.500)  0.42
Rb (0.000, 0.000, 0.000)  0.00
Fe (0.667, 0.333, 0.283)  3.65
Fe (0.333, 0.667, 0.717)  3.65

Results
Density of states at the Fermi level (states/eV/cell): 3.2
Uncorrected energy (hartree per atom): -0.25519
V (A^3/atom): 19.2